Tc2TeMo, optimized geometry, DFT PBE-GGA; SG = R-3m, No. 166; Fermi-level density of states = 1.10 states/eV/atom; energy = -8.2683 eV/atom
1.0
1.5192 0.8771 8.5040
-1.5192 0.8771 8.5040
0.0000 -1.7542 8.5040
Tc Te Mo
2 1 1
direct
0.2459 0.2459 0.2459 Tc
0.7541 0.7541 0.7541 Tc
0.0000 0.0000 0.0000 Te
0.5000 0.5000 0.5000 Mo

---

Co2ReC, optimized geometry, DFT PBE-GGA; SG = I-42d, No. 122; Fermi-level density of states = 1.17 states/eV/atom; energy of formation = 0.419 eV per atom
1.0
-3.1278 3.1278 2.1927
3.1278 -3.1278 2.1927
3.1278 3.1278 -2.1927
Co Re C
4 2 2
direct
0.0235 0.6250 0.8985 Co
0.3750 0.2735 0.3985 Co
0.7265 0.1250 0.1015 Co
0.8750 0.9765 0.6015 Co
0.2500 0.7500 0.5000 Re
0.5000 0.5000 0.0000 Re
0.0000 0.0000 0.0000 C
0.7500 0.2500 0.5000 C

---

MnCr2Tc, optimized geometry, DFT PBE-GGA; SG = Immm, No. 71; Fermi-level density of states = 1.34 states/eV/atom; energy of formation = 0.092 eV per atom
1.0
-1.4775 2.0723 4.0757
1.4775 -2.0723 4.0757
1.4775 2.0723 -4.0757
Mn Cr Tc
1 2 1
direct
0.0000 0.0000 0.0000 Mn
0.2506 0.7506 0.5000 Cr
0.7494 0.2494 0.5000 Cr
0.5000 0.5000 0.0000 Tc

---

AcPrO3, optimized geometry, DFT PBE-GGA; SG = R32, No. 155; Fermi-level density of states = 0.00 states/eV/atom; energy = -7.9255 eV/atom
1.0
3.0485 1.7601 5.8341
-3.0485 1.7601 5.8341
0.0000 -3.5201 5.8341
Ac Pr O
2 2 6
direct
0.1424 0.1424 0.1424 Ac
0.8576 0.8576 0.8576 Ac
0.3528 0.3528 0.3528 Pr
0.6472 0.6472 0.6472 Pr
0.0456 0.4704 0.7309 O
0.2691 0.5296 0.9544 O
0.4704 0.7309 0.0456 O
0.5296 0.9544 0.2691 O
0.7309 0.0456 0.4704 O
0.9544 0.2691 0.5296 O

---

GaSeIBr2, optimized geometry, DFT PBE-GGA; SG = P4/mmm, No. 123; Fermi-level density of states = 0.75 states/eV/atom; energy = -2.2799 eV/atom
1.0
4.9478 0.0000 0.0000
0.0000 4.9478 0.0000
0.0000 0.0000 5.8902
Ga Se I Br
1 1 1 2
direct
0.0000 0.0000 0.0000 Ga
0.0000 0.0000 0.5000 Se
0.5000 0.5000 0.5000 I
0.0000 0.5000 0.0000 Br
0.5000 0.0000 0.0000 Br

---

RbTmGe2Br8, optimized geometry, DFT PBE-GGA; SG = P-1, No. 2; Fermi-level density of states = 0.00 states/eV/atom; energy = -3.5004 eV/atom
1.0
6.6763 0.0000 0.0000
-0.8475 7.3533 0.0000
-0.4297 -0.4327 9.7688
Rb Tm Ge Br
1 1 2 8
direct
0.0000 0.0000 0.0000 Rb
0.0000 0.0000 0.5000 Tm
0.4437 0.5691 0.2926 Ge
0.5563 0.4309 0.7074 Ge
0.2148 0.6939 0.4733 Br
0.2207 0.1837 0.3100 Br
0.2632 0.6282 0.0799 Br
0.2773 0.1260 0.7154 Br
0.7227 0.8740 0.2846 Br
0.7368 0.3718 0.9201 Br
0.7793 0.8163 0.6900 Br
0.7852 0.3061 0.5267 Br